[1]
First-principles (GGA-PBE) data for crystalline In2TeRu at its relaxed geometry, as listed in Alexandria.

a = 4.787 Å, b = 4.787 Å, c = 3.814 Å
α = 90.00°, β = 90.00°, γ = 90.00°
Each line ends with the local moment (μB).
Fractional coordinates of all 4 atoms:
In  0.000  0.000  0.000  0.00
In  0.500  0.500  0.000  0.00
Ru  0.500  0.000  0.500  0.24
Te  0.000  0.500  0.500  0.00

Calculated values
The total energy comes out at -4.069 eV/atom.


[2]
First-principles (GGA-PBE) data for crystalline ThInRu at its relaxed geometry, as listed in Alexandria.

a = 4.274 Å, b = 5.836 Å, c = 6.624 Å
α = 116.14°, β = 108.82°, γ = 90.00°
Fractional coordinates of all 6 atoms:
Th  0.792  0.792  0.584
Th  0.208  0.208  0.416
In  0.500  0.747  0.000
In  0.500  0.253  0.000
Ru  0.125  0.625  0.249
Ru  0.875  0.375  0.751

Calculated values
The value obtained for the formation energy is -408 meV/atom.


[3]
First-principles (GGA-PBE) data for crystalline Th4InRu at its relaxed geometry, as listed in Alexandria.

a = 9.900 Å, b = 9.900 Å, c = 9.900 Å
α = 60.00°, β = 60.00°, γ = 60.00°
Fractional coordinates of all 24 atoms:
Th  0.403  0.403  0.403
Th  0.790  0.403  0.403
Th  0.403  0.790  0.403
Th  0.403  0.403  0.790
Th  0.554  0.554  0.946
Th  0.946  0.946  0.554
Th  0.554  0.946  0.554
Th  0.946  0.554  0.946
Th  0.946  0.554  0.554
Th  0.554  0.946  0.946
Th  0.185  0.185  0.815
Th  0.815  0.815  0.185
Th  0.185  0.815  0.185
Th  0.815  0.185  0.815
Th  0.815  0.185  0.185
Th  0.185  0.815  0.815
In  0.170  0.170  0.170
In  0.491  0.170  0.170
In  0.170  0.491  0.170
In  0.170  0.170  0.491
Ru  0.611  0.611  0.611
Ru  0.167  0.611  0.611
Ru  0.611  0.167  0.611
Ru  0.611  0.611  0.167

Calculated values
The energy above the most stable polymorph in this dataset is 0.0000 eV/atom. The value obtained for the formation energy is -300 meV/atom.


[4]
First-principles (GGA-PBE) data for crystalline Th6InRu at its relaxed geometry, as listed in Alexandria.

a = 6.499 Å, b = 6.499 Å, c = 6.498 Å
α = 101.72°, β = 101.72°, γ = 101.71°
Fractional coordinates of all 8 atoms:
Th  0.199  0.199  0.599
Th  0.599  0.199  0.199
Th  0.801  0.801  0.401
Th  0.801  0.401  0.801
Th  0.401  0.801  0.801
Th  0.199  0.599  0.199
In  0.000  0.000  0.000
Ru  0.500  0.500  0.500

Calculated values
The value obtained for the formation energy is 7 meV/atom.


[5]
First-principles (GGA-PBE) data for crystalline ThInRu at its relaxed geometry, as listed in Alexandria.

a = 3.643 Å, b = 4.715 Å, c = 4.715 Å
α = 120.00°, β = 90.00°, γ = 90.00°
Fractional coordinates of all 3 atoms:
Ru  0.167  0.333  0.667
Th  0.666  0.667  0.333
In  0.166  0.000  0.000

Calculated values
The value obtained for the formation energy is -156 meV/atom.


[6]
First-principles (GGA-PBE) data for crystalline ThInRu4 at its relaxed geometry, as listed in Alexandria.

a = 5.352 Å, b = 5.352 Å, c = 5.352 Å
α = 60.00°, β = 60.00°, γ = 60.00°
Fractional coordinates of all 6 atoms:
Ru  0.626  0.626  0.122
Ru  0.626  0.122  0.626
Ru  0.626  0.626  0.626
Ru  0.122  0.626  0.626
Th  0.250  0.250  0.250
In  0.000  0.000  0.000

Calculated values
The value obtained for the formation energy is -54 meV/atom.


[7]
First-principles (GGA-PBE) data for crystalline Th3In3Ru at its relaxed geometry, as listed in Alexandria.

a = 10.293 Å, b = 10.293 Å, c = 10.293 Å
α = 60.00°, β = 60.00°, γ = 60.00°
Fractional coordinates of all 28 atoms:
Th  0.048  0.452  0.048
Th  0.202  0.202  0.798
Th  0.798  0.798  0.202
Th  0.798  0.202  0.798
Th  0.798  0.202  0.202
Th  0.202  0.798  0.798
Th  0.452  0.048  0.048
Th  0.048  0.048  0.452
Th  0.452  0.452  0.048
Th  0.048  0.452  0.452
Th  0.202  0.798  0.202
Th  0.452  0.048  0.452
In  0.835  0.835  0.835
In  0.415  0.415  0.755
In  0.415  0.755  0.415
In  0.755  0.415  0.415
In  0.835  0.495  0.835
In  0.495  0.835  0.835
In  0.835  0.835  0.495
In  0.415  0.415  0.415
In  0.625  0.625  0.625
In  0.625  0.625  0.125
In  0.625  0.125  0.625
In  0.125  0.625  0.625
Ru  0.125  0.125  0.125
Ru  0.125  0.125  0.625
Ru  0.125  0.625  0.125
Ru  0.625  0.125  0.125

Calculated values
The value obtained for the formation energy is -361 meV/atom.


[8]
First-principles (GGA-PBE) data for crystalline Th2InRu at its relaxed geometry, as listed in Alexandria.

a = 4.046 Å, b = 4.046 Å, c = 8.534 Å
α = 76.29°, β = 76.29°, γ = 60.00°
Fractional coordinates of all 4 atoms:
Ru  0.000  0.000  0.000
Th  0.269  0.269  0.193
Th  0.731  0.731  0.807
In  0.500  0.500  0.500

Calculated values
The energy above the most stable polymorph in this dataset is 0.0673 eV/atom. The value obtained for the formation energy is -334 meV/atom.


[9]
First-principles (GGA-PBE) data for crystalline Th2In2Ru3 at its relaxed geometry, as listed in Alexandria.

a = 4.211 Å, b = 7.570 Å, c = 5.270 Å
α = 79.52°, β = 90.00°, γ = 106.15°
Fractional coordinates of all 7 atoms:
Th  0.635  0.271  0.922
Th  0.365  0.729  0.078
In  0.902  0.803  0.570
In  0.098  0.197  0.430
Ru  0.000  0.000  0.000
Ru  0.732  0.464  0.378
Ru  0.268  0.536  0.622

Calculated values
The value obtained for the formation energy is -287 meV/atom.


[10]
First-principles (GGA-PBE) data for crystalline ThInRu at its relaxed geometry, as listed in Alexandria.

a = 4.018 Å, b = 7.965 Å, c = 12.968 Å
α = 90.00°, β = 90.00°, γ = 90.00°
Fractional coordinates of all 18 atoms:
Th  0.000  0.222  0.957
Th  0.000  0.778  0.043
Th  0.000  0.222  0.543
Th  0.000  0.778  0.457
Th  0.000  0.154  0.250
Th  0.000  0.846  0.750
In  0.500  0.444  0.122
In  0.500  0.556  0.878
In  0.500  0.444  0.378
In  0.500  0.556  0.622
In  0.500  0.819  0.250
In  0.500  0.181  0.750
Ru  0.500  0.086  0.098
Ru  0.500  0.914  0.902
Ru  0.500  0.086  0.402
Ru  0.500  0.914  0.598
Ru  0.000  0.583  0.250
Ru  0.000  0.417  0.750

Calculated values
The value obtained for the formation energy is -426 meV/atom.


[11]
First-principles (GGA-PBE) data for crystalline Th2InRu at its relaxed geometry, as listed in Alexandria.

a = 3.382 Å, b = 3.382 Å, c = 8.897 Å
α = 90.00°, β = 90.00°, γ = 90.00°
Fractional coordinates of all 4 atoms:
Ru  0.500  0.500  0.000
Th  0.000  0.000  0.790
Th  0.000  0.000  0.210
In  0.500  0.500  0.500

Calculated values
The energy above the most stable polymorph in this dataset is 0.0561 eV/atom. The value obtained for the formation energy is -345 meV/atom.


[12]
First-principles (GGA-PBE) data for crystalline Th3In2Ru at its relaxed geometry, as listed in Alexandria.

a = 7.883 Å, b = 6.854 Å, c = 8.161 Å
α = 83.97°, β = 79.48°, γ = 54.90°
Fractional coordinates of all 12 atoms:
Th  0.457  0.636  0.771
Th  0.323  0.000  0.177
Th  0.543  0.364  0.229
Th  0.907  0.636  0.229
Th  0.093  0.364  0.771
Th  0.677  0.000  0.823
In  0.000  0.000  0.000
In  0.500  0.000  0.500
In  0.129  0.742  0.500
In  0.871  0.258  0.500
Ru  0.699  0.602  0.000
Ru  0.301  0.398  0.000

Calculated values
The value obtained for the formation energy is -216 meV/atom.


[13]
First-principles (GGA-PBE) data for crystalline Th2In3Ru2 at its relaxed geometry, as listed in Alexandria.

a = 3.892 Å, b = 3.872 Å, c = 13.039 Å
α = 90.00°, β = 98.37°, γ = 90.00°
Fractional coordinates of all 7 atoms:
Th  0.395  0.500  0.794
Th  0.605  0.500  0.206
In  0.208  0.000  0.414
In  0.000  0.000  0.000
In  0.792  0.000  0.586
Ru  0.106  0.000  0.207
Ru  0.894  0.000  0.793

Calculated values
The value obtained for the formation energy is -317 meV/atom.


[14]
First-principles (GGA-PBE) data for crystalline Th2InRu at its relaxed geometry, as listed in Alexandria.

a = 4.340 Å, b = 9.040 Å, c = 11.146 Å
α = 90.00°, β = 90.00°, γ = 90.00°
Fractional coordinates of all 16 atoms:
Th  0.250  0.088  0.968
Th  0.750  0.115  0.263
Th  0.250  0.385  0.737
Th  0.750  0.412  0.032
Th  0.750  0.588  0.532
Th  0.250  0.615  0.237
Th  0.750  0.885  0.763
Th  0.250  0.912  0.468
In  0.750  0.179  0.572
In  0.250  0.321  0.428
In  0.250  0.679  0.928
In  0.750  0.821  0.072
Ru  0.250  0.283  0.167
Ru  0.750  0.217  0.833
Ru  0.750  0.783  0.333
Ru  0.250  0.717  0.667

Calculated values
The energy above the most stable polymorph in this dataset is 0.0000 eV/atom. The value obtained for the formation energy is -401 meV/atom.


[15]
First-principles (GGA-PBE) data for crystalline ThInRu at its relaxed geometry, as listed in Alexandria.

a = 6.942 Å, b = 8.706 Å, c = 8.706 Å
α = 74.80°, β = 66.50°, γ = 66.50°
Fractional coordinates of all 18 atoms:
In  0.264  0.028  0.528
In  0.821  0.972  0.472
In  0.821  0.471  0.971
In  0.264  0.529  0.029
In  0.878  0.250  0.750
In  0.878  0.750  0.250
Ru  0.409  0.500  0.500
Ru  0.409  0.000  0.000
Ru  0.182  0.884  0.883
Ru  0.950  0.116  0.117
Ru  0.950  0.617  0.616
Ru  0.182  0.383  0.384
Th  0.380  0.750  0.250
Th  0.380  0.250  0.750
Th  0.548  0.665  0.666
Th  0.879  0.335  0.334
Th  0.879  0.834  0.835
Th  0.548  0.166  0.165

Calculated values
The value obtained for the formation energy is -215 meV/atom.


[16]
First-principles (GGA-PBE) data for crystalline Th3In5Ru2 at its relaxed geometry, as listed in Alexandria.

a = 6.708 Å, b = 9.335 Å, c = 9.335 Å
α = 79.45°, β = 68.94°, γ = 68.94°
Fractional coordinates of all 20 atoms:
Th  0.250  0.000  0.000
Th  0.750  0.000  0.000
Th  0.342  0.414  0.902
Th  0.658  0.586  0.098
Th  0.842  0.902  0.414
Th  0.158  0.098  0.586
In  0.250  0.500  0.500
In  0.750  0.500  0.500
In  0.510  0.740  0.740
In  0.990  0.260  0.260
In  0.490  0.260  0.260
In  0.010  0.740  0.740
In  0.098  0.566  0.238
In  0.902  0.434  0.762
In  0.598  0.238  0.566
In  0.402  0.762  0.434
Ru  0.139  0.737  0.986
Ru  0.861  0.263  0.014
Ru  0.639  0.986  0.737
Ru  0.361  0.014  0.263

Calculated values
The value obtained for the formation energy is -197 meV/atom.


[17]
First-principles (GGA-PBE) data for crystalline Th5In2Ru2 at its relaxed geometry, as listed in Alexandria.

a = 8.720 Å, b = 6.782 Å, c = 10.234 Å
α = 109.35°, β = 115.22°, γ = 90.00°
Fractional coordinates of all 18 atoms:
Th  0.182  0.682  0.933
Th  0.818  0.749  0.067
Th  0.250  0.182  0.933
Th  0.750  0.249  0.067
Th  0.253  0.075  0.309
Th  0.747  0.766  0.691
Th  0.556  0.575  0.309
Th  0.444  0.266  0.691
Th  0.039  0.769  0.500
Th  0.961  0.269  0.500
In  0.141  0.504  0.203
In  0.859  0.300  0.797
In  0.562  0.004  0.203
In  0.438  0.800  0.797
Ru  0.000  0.014  0.000
Ru  0.500  0.514  0.000
Ru  0.259  0.478  0.500
Ru  0.741  0.978  0.500

Calculated values
The value obtained for the formation energy is -233 meV/atom.


[18]
First-principles (GGA-PBE) data for crystalline Th7In2Ru2 at its relaxed geometry, as listed in Alexandria.

a = 7.042 Å, b = 7.022 Å, c = 7.042 Å
α = 90.02°, β = 107.77°, γ = 89.98°
Fractional coordinates of all 11 atoms:
Th  0.000  0.260  0.500
Th  0.500  0.740  0.000
Th  0.000  0.740  0.500
Th  0.500  0.260  0.000
Th  0.000  0.000  0.000
Th  0.500  0.762  0.500
Th  0.500  0.238  0.500
In  0.830  0.500  0.830
In  0.170  0.500  0.170
Ru  0.736  0.000  0.264
Ru  0.264  0.000  0.736

Calculated values
The value obtained for the formation energy is -151 meV/atom.


[19]
First-principles (GGA-PBE) data for crystalline Th4InRu at its relaxed geometry, as listed in Alexandria.

a = 6.126 Å, b = 8.867 Å, c = 8.037 Å
α = 114.72°, β = 100.83°, γ = 110.51°
Fractional coordinates of all 12 atoms:
Th  0.376  0.938  0.645
Th  0.939  0.798  0.173
Th  0.231  0.293  0.355
Th  0.266  0.625  0.827
Th  0.624  0.062  0.355
Th  0.769  0.707  0.645
Th  0.061  0.202  0.827
Th  0.734  0.375  0.173
In  0.367  0.617  0.235
In  0.633  0.383  0.765
Ru  0.749  0.999  0.999
Ru  0.251  0.001  0.001

Calculated values
The energy above the most stable polymorph in this dataset is 0.0687 eV/atom. The value obtained for the formation energy is -231 meV/atom.


[20]
First-principles (GGA-PBE) data for crystalline Th6In3Ru at its relaxed geometry, as listed in Alexandria.

a = 8.580 Å, b = 8.580 Å, c = 8.580 Å
α = 77.26°, β = 77.26°, γ = 77.26°
Fractional coordinates of all 20 atoms:
Th  0.212  0.855  0.213
Th  0.145  0.787  0.788
Th  0.475  0.833  0.476
Th  0.787  0.788  0.145
Th  0.476  0.475  0.833
Th  0.167  0.524  0.525
Th  0.833  0.476  0.475
Th  0.524  0.525  0.167
Th  0.213  0.212  0.855
Th  0.525  0.167  0.524
Th  0.855  0.213  0.212
Th  0.788  0.145  0.787
In  0.533  0.856  0.856
In  0.856  0.856  0.533
In  0.144  0.467  0.144
In  0.856  0.533  0.856
In  0.144  0.144  0.467
In  0.467  0.144  0.144
Ru  0.000  0.000  0.000
Ru  0.500  0.500  0.500

Calculated values
The value obtained for the formation energy is -154 meV/atom.


| no. | DOS at the Fermi energy (states/eV/cell) |
| --- | --- |
| 1 | 2.58 |
| 2 | 3.73 |
| 3 | 27.60 |
| 4 | 8.90 |
| 5 | 4.52 |
| 6 | 6.46 |
| 7 | 26.75 |
| 8 | 3.55 |
| 9 | 5.41 |
| 10 | 14.93 |
| 11 | 3.54 |
| 12 | 13.55 |
| 13 | 2.93 |
| 14 | 14.35 |
| 15 | 11.99 |
| 16 | 8.88 |
| 17 | 21.26 |
| 18 | 11.56 |
| 19 | 14.09 |
| 20 | 23.33 |